Below is crystalline KHgAu2 at its relaxed geometry, with properties calculated at the PBE level.

Calculated values
energy of formation from the pure elements	0.010	eV/atom
space-group type	C2/m

Lattice parameters (Å, degrees): 8.4372 5.7828 2.8981 89.50 70.64 130.27
Sites, in units of the cell vectors:
Au: 0.5000 0.0000 0.5000
Au: 0.0000 0.0000 0.0000
K: 0.5000 0.5000 0.0000
Hg: 0.0000 0.5000 0.5000



Below is crystalline BaSr7 at its relaxed geometry, with properties calculated at the PBE level.

Calculated values
energy of formation from the pure elements	0.003	eV/atom
space-group type	Fm-3m

Lattice parameters (Å, degrees): 8.5669 8.5669 8.5669 60.00 60.00 60.00
Sites, in units of the cell vectors:
Sr: 0.5000 0.0000 0.0000
Sr: 0.0000 0.0000 0.5000
Sr: 0.5000 0.0000 0.5000
Sr: 0.5000 0.5000 0.0000
Sr: 0.5000 0.5000 0.5000
Sr: 0.0000 0.5000 0.0000
Sr: 0.0000 0.5000 0.5000
Ba: 0.0000 0.0000 0.0000



Below is crystalline Ta5Si2Ge2 at its relaxed geometry, with properties calculated at the PBE level.

Calculated values
space-group type	Cmce
ΔE_f (raw)	-0.38	eV per atom

Lattice parameters (Å, degrees): 6.7784 6.6976 7.4351 90.00 62.88 90.00
Sites, in units of the cell vectors:
Ta: 0.2928 0.6695 0.7411
Ta: 0.4661 0.1695 0.7411
Ta: 0.0339 0.6695 0.2589
Ta: 0.9661 0.3305 0.7411
Ta: 0.7928 0.8305 0.7411
Ta: 0.7072 0.3305 0.2589
Ta: 0.5339 0.8305 0.2589
Ta: 0.2072 0.1695 0.2589
Ta: 0.5000 0.5000 0.0000
Ta: 0.0000 0.0000 0.0000
Ge: 0.2088 0.0000 0.5824
Ge: 0.7088 0.5000 0.5824
Ge: 0.2912 0.5000 0.4176
Ge: 0.7912 0.0000 0.4176
Si: 0.1278 0.3737 0.0000
Si: 0.8722 0.6263 0.0000
Si: 0.6278 0.1263 0.0000
Si: 0.3722 0.8737 0.0000



Below is crystalline AlSBr2 at its relaxed geometry, with properties calculated at the PBE level.

Calculated values
space-group type	I-42d
ΔE_f (raw)	-0.35	eV per atom
energy above the lowest structure with this stoichiometry	0.0000	eV per atom

Lattice parameters (Å, degrees): 9.7067 9.7067 7.2317 47.85 47.85 90.00
Site moments in Bohr magnetons follow the coordinates.
Sites, in units of the cell vectors:
Br: 0.3750 0.5339 0.7500  0.15
Br: 0.4661 0.1250 0.2500  0.15
Br: 0.8750 0.7161 0.7500  0.15
Br: 0.2839 0.6250 0.2500  0.15
Al: 0.2500 0.7500 0.5000  -0.01
Al: 0.5000 0.5000 0.0000  -0.01
S: 0.7500 0.2500 0.5000  0.40
S: 0.0000 0.0000 0.0000  0.40



Below is crystalline HgAsSe2 at its relaxed geometry, with properties calculated at the PBE level.

Calculated values
space-group type	Pmmm
ΔE_f (raw)	0.20	eV per atom
energy above the lowest structure with this stoichiometry	0.2652	eV per atom

Lattice parameters (Å, degrees): 4.0808 4.0697 5.5166 90.00 90.00 90.00
Sites, in units of the cell vectors:
As: 0.5000 0.5000 0.5000
Hg: 0.0000 0.0000 0.5000
Se: 0.5000 0.5000 0.0000
Se: 0.0000 0.0000 0.0000



Below is crystalline Y2Ga12Rh at its relaxed geometry, with properties calculated at the PBE level.

Calculated values
energy of formation from the pure elements	-0.408	eV/atom
space-group type	P4/nbm

Lattice parameters (Å, degrees): 6.0540 6.0540 15.5607 90.00 90.00 90.00
Sites, in units of the cell vectors:
Ga: 0.7500 0.7500 0.0882
Ga: 0.0000 0.0000 0.6529
Ga: 0.2500 0.7500 0.0882
Ga: 0.2500 0.2500 0.0882
Ga: 0.2500 0.2500 0.9118
Ga: 0.5000 0.5000 0.6529
Ga: 0.0000 0.0000 0.8093
Ga: 0.6662 0.8338 0.5686
Ga: 0.3338 0.1662 0.5686
Ga: 0.2500 0.7500 0.9118
Ga: 0.0000 0.0000 0.3471
Ga: 0.8338 0.3338 0.5686
Ga: 0.6662 0.1662 0.4314
Ga: 0.5000 0.5000 0.3471
Ga: 0.7500 0.2500 0.0882
Ga: 0.5000 0.5000 0.1907
Ga: 0.7500 0.7500 0.9118
Ga: 0.3338 0.8338 0.4314
Ga: 0.1662 0.3338 0.4314
Ga: 0.0000 0.0000 0.1907
Ga: 0.1662 0.6662 0.5686
Ga: 0.7500 0.2500 0.9118
Ga: 0.8338 0.6662 0.4314
Ga: 0.5000 0.5000 0.8093
Y: 0.0000 0.5000 0.7597
Y: 0.0000 0.5000 0.2403
Y: 0.5000 0.0000 0.7597
Y: 0.5000 0.0000 0.2403
Rh: 0.0000 0.5000 0.0000
Rh: 0.5000 0.0000 0.0000



Number 1: total magnetization 0.00 μB/atom, theoretical density 10.87 g/cm3. Number 2: total magnetization 0.00 μB/atom, theoretical density 2.80 g/cm3. Number 3: total magnetization 0.00 μB/atom, theoretical density 12.23 g/cm3. Number 4: total magnetization 0.25 μB/atom, theoretical density 3.39 g/cm3. Number 5: total magnetization 0.00 μB/atom, theoretical density 7.86 g/cm3. Number 6: total magnetization 0.00 μB/atom, theoretical density 6.51 g/cm3.